(1)
Sc2Cd3Au: optimized geometry, GGA-PBE.

As for the total magnetization: 0.26 Bohr magnetons per cell. The calculation puts the density at 8.1 Mg/m³. The value obtained for the electronic total energy is -3.466 eV per atom. The calculation puts the density of states at the Fermi level at 4.068 states/eV per cell.

The space group is Pmm2 (No. 25) and the conventional cell measures 3.1886, 4.8025 and 8.3208 Å, with angles of 90.00, 90.00 and 90.00 degrees. Symmetry generates all atoms from Sc at (0.0000, 0.0000, 0.0000), Sc at (0.0000, 0.5000, 0.4607), Cd at (0.5000, 0.0000, 0.6453), Cd at (0.5000, 0.5000, 0.1433), Cd at (0.5000, 0.5000, 0.8094) and Au at (0.5000, 0.0000, 0.3128).



(2)
SiSCl2O: optimized geometry, GGA-PBE.

As for the formation energy (no corrections): 41.36 kJ/mol of atoms. As for the total magnetization: 2.57 Bohr magnetons per cell. The calculation puts the density at 2.5 Mg/m³. The distance to the lowest polymorph of the same formula is 0 meV/atom. The calculation puts the density of states at the Fermi level at 3.047 states/eV per cell.

The space group is P4/mmm (No. 123) and the conventional cell measures 4.6590, 4.6590 and 4.5791 Å, with angles of 90.00, 90.00 and 90.00 degrees. Symmetry generates all atoms from Si at (0.0000, 0.0000, 0.0000), S at (0.0000, 0.0000, 0.5000), Cl at (0.0000, 0.5000, 0.0000) and O at (0.5000, 0.5000, 0.5000).